Computed, not measured: crystalline Rb2SrPtBr6 at its relaxed geometry at the PBE level of DFT.

ΔE_f (raw): -12.5 eV per formula unit
Fermi-level density of states: 0.000 states/eV per atom
M_tot: 2.000 Bohr magnetons per cell

Geometry as extended XYZ:
```
10
Lattice="0.0000 5.6649 5.6649 5.6649 0.0000 5.6649 5.6649 5.6649 0.0000" Properties=species:S:1:pos:R:3 pbc="T T T"
Rb 2.8324 2.8324 2.8324
Rb 8.4973 8.4973 8.4973
Sr 0.0000 0.0000 0.0000
Pt 5.6649 5.6649 5.6649
Br 5.6649 5.6649 2.9937
Br 5.6649 2.9937 5.6649
Br 8.3360 5.6649 5.6649
Br 2.9937 5.6649 5.6649
Br 5.6649 8.3360 5.6649
Br 5.6649 5.6649 8.3360
```

---

Computed, not measured: crystalline CuSiPd3 at its relaxed geometry at the PBE level of DFT.

ΔE_f (raw): 0.8 eV per formula unit
ΔE to the lowest computed polymorph: 416 meV/atom
Fermi-level density of states: 0.774 states/eV per atom
M_tot: 0.000 Bohr magnetons per cell

Geometry as extended XYZ:
```
5
Lattice="4.4781 0.0000 0.0000 0.0000 4.4781 0.0000 0.0000 0.0000 4.4781" Properties=species:S:1:pos:R:3 pbc="T T T"
Cu 0.0000 0.0000 0.0000
Si 2.2390 2.2390 2.2390
Pd 0.0000 2.2390 2.2390
Pd 2.2390 0.0000 2.2390
Pd 2.2390 2.2390 0.0000
```

---

Which value of Fermi-level density of states does entry 2 give?
0.774 states/eV per atom